Entry 1:
VASP calculation (PBE-GGA) on crystalline Gd6Si2Ni at its relaxed geometry.

Crystal system ... hexagonal
Calculated density ... 7.9 g/cm3
Total moment ... 0.00 μB per formula unit
Calculated total energy ... -5.35 eV per atom

Lattice parameters (Å, degrees): 7.881 7.881 4.158 90.00 90.00 120.00
Atoms (fractional coordinates):
1 Ni 0.000 0.000 0.000
2 Gd 0.414 0.414 0.000
3 Gd 0.250 0.000 0.500
4 Gd 0.000 0.586 0.000
5 Gd 0.750 0.750 0.500
6 Gd 0.000 0.250 0.500
7 Gd 0.586 0.000 0.000
8 Si 0.333 0.667 0.500
9 Si 0.667 0.333 0.500

***

Entry 2:
VASP calculation (PBE-GGA) on crystalline Er3Mg3TlPt2 at its relaxed geometry.

Crystal system ... hexagonal
Calculated density ... 9.7 g/cm3
Total moment ... 0.01 μB per formula unit
Calculated total energy ... -4.33 eV per atom

Lattice parameters (Å, degrees): 7.409 7.409 4.216 90.00 90.00 120.00
Atoms (fractional coordinates):
1 Mg 0.739 0.739 0.500
2 Mg 0.261 0.000 0.500
3 Mg 0.000 0.261 0.500
4 Tl 0.000 0.000 0.000
5 Er 0.425 0.425 0.000
6 Er 0.000 0.575 0.000
7 Er 0.575 0.000 0.000
8 Pt 0.333 0.667 0.500
9 Pt 0.667 0.333 0.500

***

Entry 3:
VASP calculation (PBE-GGA) on crystalline Li4Zn2FePt at its relaxed geometry.

Crystal system ... tetragonal
Calculated density ... 6.4 g/cm3
Total moment ... 2.01 μB per formula unit
Calculated total energy ... -3.24 eV per atom

Lattice parameters (Å, degrees): 4.226 4.226 5.989 90.00 90.00 90.00
Atoms (fractional coordinates):
1 Zn 0.500 0.000 0.758
2 Zn 0.000 0.500 0.242
3 Li 0.000 0.500 0.746
4 Li 0.500 0.500 0.000
5 Li 0.500 0.000 0.254
6 Li 0.000 0.000 0.500
7 Pt 0.500 0.500 0.500
8 Fe 0.000 0.000 0.000

***

Entry 4:
VASP calculation (PBE-GGA) on crystalline ScFe2Te at its relaxed geometry.

Crystal system ... cubic
Calculated density ... 7.1 g/cm3
Total moment ... 4.57 μB per formula unit
Calculated total energy ... -6.44 eV per atom

Lattice parameters (Å, degrees): 4.541 4.541 4.541 60.00 60.00 60.00
Atoms (fractional coordinates):
1 Fe 0.750 0.750 0.750
2 Fe 0.000 0.000 0.000
3 Sc 0.250 0.250 0.250
4 Te 0.500 0.500 0.500

***

Entry 5:
VASP calculation (PBE-GGA) on crystalline USbMo at its relaxed geometry.

Crystal system ... cubic
Calculated density ... 10.6 g/cm3
Total moment ... 2.76 μB per formula unit
Calculated total energy ... -8.43 eV per atom

Lattice parameters (Å, degrees): 4.661 4.661 4.661 60.00 60.00 60.00
Atoms (fractional coordinates):
1 U 0.750 0.750 0.750
2 Sb 0.250 0.250 0.250
3 Mo 0.000 0.000 0.000

***

Entry 6:
VASP calculation (PBE-GGA) on crystalline AgPbSO at its relaxed geometry.

Crystal system ... tetragonal
Calculated density ... 7.8 g/cm3
Calculated total energy ... -4.12 eV per atom

Lattice parameters (Å, degrees): 4.004 4.004 9.641 90.00 90.00 90.00
Atoms (fractional coordinates):
1 S 0.250 0.750 0.500
2 S 0.750 0.250 0.500
3 Ag 0.750 0.750 0.673
4 Ag 0.250 0.250 0.327
5 O 0.250 0.250 0.096
6 O 0.750 0.750 0.904
7 Pb 0.250 0.250 0.865
8 Pb 0.750 0.750 0.135

***

Entry 7:
VASP calculation (PBE-GGA) on crystalline BaYAgTe2Se at its relaxed geometry.

Crystal system ... monoclinic
Calculated density ... 5.9 g/cm3
Total moment ... 0.00 μB per formula unit
Calculated total energy ... -4.85 eV per atom

Lattice parameters (Å, degrees): 7.753 7.753 11.418 93.37 93.37 33.00
Atoms (fractional coordinates):
1 Y 0.000 0.000 0.000
2 Y 0.000 0.000 0.500
3 Ba 0.237 0.237 0.286
4 Ba 0.763 0.763 0.714
5 Se 0.627 0.627 0.457
6 Se 0.373 0.373 0.543
7 Te 0.914 0.914 0.245
8 Te 0.086 0.086 0.755
9 Te 0.357 0.357 0.936
10 Te 0.643 0.643 0.064
11 Ag 0.531 0.531 0.249
12 Ag 0.469 0.469 0.751

***

Entry 8:
VASP calculation (PBE-GGA) on crystalline ReW at its relaxed geometry.

Crystal system ... hexagonal
Calculated density ... 19.1 g/cm3
Total moment ... 0.01 μB per formula unit
Calculated formation energy ... 0.27 eV/atom

Lattice parameters (Å, degrees): 5.180 5.180 8.325 90.00 90.00 120.00
Atoms (fractional coordinates):
1 W 0.667 0.333 0.938
2 W 0.333 0.667 0.062
3 W 0.333 0.667 0.438
4 W 0.000 0.000 0.500
5 W 0.667 0.333 0.562
6 W 0.000 0.000 0.000
7 Re 0.827 0.655 0.250
8 Re 0.173 0.345 0.750
9 Re 0.345 0.173 0.250
10 Re 0.827 0.173 0.250
11 Re 0.173 0.827 0.750
12 Re 0.655 0.827 0.750

***

Entry 9:
VASP calculation (PBE-GGA) on crystalline YSi2IrPt at its relaxed geometry.

Crystal system ... tetragonal
Calculated density ... 10.4 g/cm3
Total moment ... 0.00 μB per formula unit
Calculated total energy ... -7.56 eV per atom

Lattice parameters (Å, degrees): 4.134 4.134 9.966 90.00 90.00 90.00
Atoms (fractional coordinates):
1 Si 0.500 0.000 0.129
2 Si 0.000 0.500 0.871
3 Si 0.000 0.000 0.500
4 Si 0.500 0.500 0.500
5 Y 0.000 0.500 0.251
6 Y 0.500 0.000 0.749
7 Pt 0.500 0.000 0.371
8 Pt 0.000 0.500 0.629
9 Ir 0.000 0.000 0.000
10 Ir 0.500 0.500 0.000

***

Entry 10:
VASP calculation (PBE-GGA) on crystalline NaLaPd at its relaxed geometry.

Crystal system ... cubic
Calculated density ... 5.6 g/cm3
Total moment ... 0.13 μB per formula unit
Calculated total energy ... -3.61 eV per atom

Lattice parameters (Å, degrees): 4.816 4.816 4.816 60.00 60.00 60.00
Atoms (fractional coordinates):
1 La 0.250 0.250 0.250
2 Na 0.000 0.000 0.000
3 Pd 0.750 0.750 0.750

***

Entry 11:
VASP calculation (PBE-GGA) on crystalline B4Pt at its relaxed geometry.

Crystal system ... trigonal
Calculated density ... 9.4 g/cm3
Total moment ... 0.01 μB per formula unit
Calculated total energy ... -5.80 eV per atom

Lattice parameters (Å, degrees): 6.411 6.411 6.411 25.28 25.28 25.28
Atoms (fractional coordinates):
1 B 0.427 0.427 0.427
2 B 0.187 0.187 0.187
3 B 0.573 0.573 0.573
4 B 0.813 0.813 0.813
5 Pt 0.000 0.000 0.000

***

Entry 12:
VASP calculation (PBE-GGA) on crystalline RbErGa at its relaxed geometry.

Crystal system ... cubic
Calculated density ... 5.3 g/cm3
Total moment ... 0.14 μB per formula unit
Calculated total energy ... -2.20 eV per atom

Lattice parameters (Å, degrees): 5.234 5.234 5.234 60.00 60.00 60.00
Atoms (fractional coordinates):
1 Ga 0.250 0.250 0.250
2 Er 0.000 0.000 0.000
3 Rb 0.750 0.750 0.750